(1)
First-principles (GGA-PBE) data for crystalline TlSi2Ru at its relaxed geometry, as listed in Alexandria.

Lattice parameters (Å, degrees): 4.6929 4.6929 3.2546 90.00 90.00 109.68
Atoms (fractional coordinates):
Tl (0.0000, 0.0000, 0.0000)
Si (0.0000, 0.5000, 0.5000)
Si (0.5000, 0.0000, 0.5000)
Ru (0.5000, 0.5000, 0.0000)

symmetry = Cmmm
excess energy over the best structure of this formula in the dataset = 0.617 eV per atom
DOS(E_F) = 0.64 states/eV per atom



(2)
First-principles (GGA-PBE) data for crystalline TlSi2Ru at its relaxed geometry, as listed in Alexandria.

Lattice parameters (Å, degrees): 4.8092 4.8092 4.8092 128.13 128.13 76.42
Atoms (fractional coordinates):
Tl (0.0000, 0.0000, 0.0000)
Si (0.2500, 0.7500, 0.5000)
Si (0.7500, 0.2500, 0.5000)
Ru (0.5000, 0.5000, 0.0000)

symmetry = I4/mmm
excess energy over the best structure of this formula in the dataset = 0.619 eV per atom
DOS(E_F) = 0.73 states/eV per atom



(3)
First-principles (GGA-PBE) data for crystalline TlSi2Ru at its relaxed geometry, as listed in Alexandria.

Lattice parameters (Å, degrees): 4.4817 4.4817 6.5896 108.46 108.46 39.15
Atoms (fractional coordinates):
Tl (0.0000, 0.0000, 0.0000)
Si (0.1732, 0.1732, 0.7048)
Si (0.3570, 0.3570, 0.3998)
Ru (0.6417, 0.6417, 0.4131)

symmetry = Cm
excess energy over the best structure of this formula in the dataset = 0.089 eV per atom
DOS(E_F) = 0.41 states/eV per atom



(4)
First-principles (GGA-PBE) data for crystalline TlSiRu at its relaxed geometry, as listed in Alexandria.

Lattice parameters (Å, degrees): 3.1436 3.1436 6.4516 90.00 90.00 120.00
Atoms (fractional coordinates):
Tl (0.0000, 0.0000, 0.0000)
Si (0.3333, 0.6667, 0.5998)
Ru (0.6667, 0.3333, 0.3637)

symmetry = P3m1
excess energy over the best structure of this formula in the dataset = 0.051 eV per atom
DOS(E_F) = 0.46 states/eV per atom



(5)
First-principles (GGA-PBE) data for crystalline TlSi2Ru at its relaxed geometry, as listed in Alexandria.

Lattice parameters (Å, degrees): 3.2587 4.4431 4.7250 90.00 90.00 90.00
Atoms (fractional coordinates):
Tl (0.0000, 0.0000, 0.0000)
Si (0.0000, 0.5000, 0.5000)
Si (0.5000, 0.0000, 0.5000)
Ru (0.5000, 0.5000, 0.0000)

symmetry = Pmmm
excess energy over the best structure of this formula in the dataset = 0.690 eV per atom
DOS(E_F) = 0.68 states/eV per atom



(6)
First-principles (GGA-PBE) data for crystalline TlSiRu at its relaxed geometry, as listed in Alexandria.

Lattice parameters (Å, degrees): 5.6393 5.6393 5.6393 146.92 146.92 47.48
Atoms (fractional coordinates):
Tl (0.0000, 0.0000, 0.0000)
Si (0.2940, 0.2940, 0.0000)
Ru (0.7060, 0.7060, 0.0000)

symmetry = I4mm
excess energy over the best structure of this formula in the dataset = 0.000 eV per atom
DOS(E_F) = 0.63 states/eV per atom



Across the entries above, size of the total moment takes the values 0.0000 0.0000 0.0000 0.0000 0.0000 0.0000 μB per atom, respectively.
Across the entries above, formation energy from raw total energies takes the values 0.60 0.60 0.07 0.16 0.67 0.11 eV per atom, respectively.